Density functional theory data (PBE+U) for a relaxed Ba2UCrO6 crystal.

POSCAR file:
```
Ba2UCrO6
1.0
5.951 -0.001 0.000
-2.975 5.154 0.012
-0.001 -3.447 4.850
Cr U Ba O
1 1 2 6
direct
0.500 0.500 0.000
0.000 0.500 0.500
0.250 0.000 0.250
0.750 0.000 0.750
0.744 0.988 0.244
0.256 0.499 0.756
0.256 0.500 0.244
0.744 0.501 0.244
0.744 0.500 0.756
0.256 0.012 0.756
```

Symmetry: Fm-3m
Energy, eV/atom: -8.10